# 1
The following is a PBE-GGA calculation of a relaxed structure of Co2P2Rh, from Alexandria.

Structure (CIF):
```
data_Co2P2Rh
_chemical_formula_sum 'Co4 P4 Rh2'
_space_group_name_H-M_alt 'P 4/m b m'
_space_group_IT_number 127
_space_group_name_Hall '-P 4 2ab'
_cell_length_a 6.388
_cell_length_b 6.388
_cell_length_c 2.826
_cell_angle_alpha 90.00
_cell_angle_beta 90.00
_cell_angle_gamma 90.00
loop_
_atom_site_label
_atom_site_type_symbol
_atom_site_fract_x
_atom_site_fract_y
_atom_site_fract_z
_atom_site_occupancy
Co1 Co 0.137 0.363 0.000 1
P1 P 0.151 0.651 0.500 1
Rh1 Rh 0.000 0.000 0.500 1
```

Energy of formation in eV per atom: -0.40
Calculated total energy in eV/atom: -6.87

# 2
The following is a PBE-GGA calculation of a relaxed structure of Co4PRh, from Alexandria.

Structure (CIF):
```
data_Co4PRh
_chemical_formula_sum 'Co16 P4 Rh4'
_space_group_name_H-M_alt 'F -4 3 m'
_space_group_IT_number 216
_space_group_name_Hall 'F -4 2 3'
_cell_length_a 6.646
_cell_length_b 6.646
_cell_length_c 6.646
_cell_angle_alpha 90.00
_cell_angle_beta 90.00
_cell_angle_gamma 90.00
loop_
_atom_site_label
_atom_site_type_symbol
_atom_site_fract_x
_atom_site_fract_y
_atom_site_fract_z
_atom_site_occupancy
Co1 Co 0.125 0.125 0.125 1
P1 P 0.250 0.250 0.750 1
Rh1 Rh 0.000 0.000 0.500 1
```

Energy of formation in eV per atom: 0.30
Calculated total energy in eV/atom: -6.56

# 3
The following is a PBE-GGA calculation of a relaxed structure of CoPRhS2, from Alexandria.

Structure (CIF):
```
data_CoPRhS2
_chemical_formula_sum 'Co1 P1 Rh1 S2'
_space_group_name_H-M_alt 'P 4/m m m'
_space_group_IT_number 123
_space_group_name_Hall '-P 4 2'
_cell_length_a 4.416
_cell_length_b 4.416
_cell_length_c 4.142
_cell_angle_alpha 90.00
_cell_angle_beta 90.00
_cell_angle_gamma 90.00
loop_
_atom_site_label
_atom_site_type_symbol
_atom_site_fract_x
_atom_site_fract_y
_atom_site_fract_z
_atom_site_occupancy
Co1 Co 0.000 0.000 0.000 1
P1 P 0.000 0.000 0.500 1
Rh1 Rh 0.500 0.500 0.500 1
S1 S 0.000 0.500 0.000 1
```

Energy relative to the lowest polymorph listed for this composition in eV/atom: 0.0000
Calculated total energy in eV/atom: -4.99
Formation energy from raw total energies in meV per atom: 633.9

# 4
The following is a PBE-GGA calculation of a relaxed structure of CoP2RhS, from Alexandria.

Structure (CIF):
```
data_CoP2RhS
_chemical_formula_sum 'Co1 P2 Rh1 S1'
_space_group_name_H-M_alt 'P 4/m m m'
_space_group_IT_number 123
_space_group_name_Hall '-P 4 2'
_cell_length_a 4.182
_cell_length_b 4.182
_cell_length_c 4.555
_cell_angle_alpha 90.00
_cell_angle_beta 90.00
_cell_angle_gamma 90.00
loop_
_atom_site_label
_atom_site_type_symbol
_atom_site_fract_x
_atom_site_fract_y
_atom_site_fract_z
_atom_site_occupancy
Co1 Co 0.000 0.000 0.000 1
P1 P 0.000 0.500 0.000 1
Rh1 Rh 0.500 0.500 0.500 1
S1 S 0.000 0.000 0.500 1
```

Energy relative to the lowest polymorph listed for this composition in eV/atom: 0.0000
Calculated total energy in eV/atom: -5.30
Formation energy from raw total energies in meV per atom: 581.2

# 5
The following is a PBE-GGA calculation of a relaxed structure of CoPRhS2, from Alexandria.

Structure (CIF):
```
data_CoPRhS2
_chemical_formula_sum 'Co1 P1 Rh1 S2'
_space_group_name_H-M_alt 'P 4/m m m'
_space_group_IT_number 123
_space_group_name_Hall '-P 4 2'
_cell_length_a 4.808
_cell_length_b 4.808
_cell_length_c 4.312
_cell_angle_alpha 90.00
_cell_angle_beta 90.00
_cell_angle_gamma 90.00
loop_
_atom_site_label
_atom_site_type_symbol
_atom_site_fract_x
_atom_site_fract_y
_atom_site_fract_z
_atom_site_occupancy
Co1 Co 0.000 0.000 0.000 1
P1 P 0.500 0.500 0.000 1
Rh1 Rh 0.500 0.500 0.500 1
S1 S 0.000 0.500 0.500 1
```

Energy relative to the lowest polymorph listed for this composition in eV/atom: 0.2573
Calculated total energy in eV/atom: -4.73
Formation energy from raw total energies in meV per atom: 891.2

# 6
The following is a PBE-GGA calculation of a relaxed structure of CoP2RhS, from Alexandria.

Structure (CIF):
```
data_CoP2RhS
_chemical_formula_sum 'Co1 P2 Rh1 S1'
_space_group_name_H-M_alt 'P 4/m m m'
_space_group_IT_number 123
_space_group_name_Hall '-P 4 2'
_cell_length_a 4.439
_cell_length_b 4.439
_cell_length_c 4.989
_cell_angle_alpha 90.00
_cell_angle_beta 90.00
_cell_angle_gamma 90.00
loop_
_atom_site_label
_atom_site_type_symbol
_atom_site_fract_x
_atom_site_fract_y
_atom_site_fract_z
_atom_site_occupancy
Co1 Co 0.000 0.000 0.000 1
P1 P 0.000 0.500 0.500 1
Rh1 Rh 0.500 0.500 0.500 1
S1 S 0.500 0.500 0.000 1
```

Energy relative to the lowest polymorph listed for this composition in eV/atom: 0.3452
Calculated total energy in eV/atom: -4.95
Formation energy from raw total energies in meV per atom: 926.4

# 7
The following is a PBE-GGA calculation of a relaxed structure of ScCoP2Rh, from Alexandria.

Structure (CIF):
```
data_ScCoP2Rh
_chemical_formula_sum 'Sc1 Co1 P2 Rh1'
_space_group_name_H-M_alt 'P 4/m m m'
_space_group_IT_number 123
_space_group_name_Hall '-P 4 2'
_cell_length_a 4.126
_cell_length_b 4.126
_cell_length_c 5.007
_cell_angle_alpha 90.00
_cell_angle_beta 90.00
_cell_angle_gamma 90.00
loop_
_atom_site_label
_atom_site_type_symbol
_atom_site_fract_x
_atom_site_fract_y
_atom_site_fract_z
_atom_site_occupancy
Sc1 Sc 0.000 0.000 0.000 1
Co1 Co 0.500 0.500 0.500 1
P1 P 0.000 0.500 0.500 1
Rh1 Rh 0.500 0.500 0.000 1
```

Energy of formation in eV per atom: 0.06
Calculated total energy in eV/atom: -6.26

# 8
The following is a PBE-GGA calculation of a relaxed structure of Sm2Co3P4Rh, from Alexandria.

Structure (CIF):
```
data_Sm2Co3P4Rh
_chemical_formula_sum 'Sm2 Co3 P4 Rh1'
_space_group_name_H-M_alt 'P -4 m 2'
_space_group_IT_number 115
_cell_length_a 3.999
_cell_length_b 3.999
_cell_length_c 9.239
_cell_angle_alpha 90.00
_cell_angle_beta 90.00
_cell_angle_gamma 90.00
loop_
_space_group_symop_operation_xyz
'x,y,z'
'y,-x,-z'
'-x,-y,z'
'-y,x,-z'
'-x,y,z'
'-y,-x,-z'
'x,-y,z'
'y,x,-z'
loop_
_atom_site_label
_atom_site_type_symbol
_atom_site_fract_x
_atom_site_fract_y
_atom_site_fract_z
_atom_site_occupancy
Sm1 Sm 0.000 0.500 0.239 1
Co1 Co 0.000 0.500 0.891 1
Co2 Co 0.500 0.500 0.500 1
P1 P 0.000 0.000 0.000 1
P2 P 0.000 0.500 0.644 1
P3 P 0.500 0.500 0.000 1
Rh1 Rh 0.000 0.000 0.500 1
```

Energy of formation in eV per atom: -1.04
Calculated total energy in eV/atom: -7.01